This record from the Alexandria database describes Mg2CoP after structural relaxation. The functional is PBE.

Summary:
calculated formation energy = 0.03 eV per atom
Fermi-level density of states = 3.3 states/eV/cell
total DFT energy (no corrections) = -3.900 eV per atom
space-group type = Cmmm

a b c (Å): 4.7362 4.7362 2.8521
angles (deg): 90.00 90.00 108.95
Last column: magnetic moment on the atom in μB.
Positions (direct):
Co (0.0000, 0.5000, 0.5000)  1.07
Mg (0.0000, 0.0000, 0.0000)  -0.01
Mg (0.5000, 0.5000, 0.0000)  -0.01
P (0.5000, 0.0000, 0.5000)  0.00